VASP calculation (PBE) on a relaxed structure of PaTaMn.

energy above the lowest structure with this stoichiometry	0.00	eV/f.u.
energy relative to the elements	80	meV/atom
final energy	-60.6	eV/cell
crystal system	tetragonal

Structure (CIF):
```
data_PaTaMn
_symmetry_space_group_name_H-M 'P 4/n m m'
_symmetry_Int_Tables_number 129
_cell_length_a 3.754
_cell_length_b 3.754
_cell_length_c 7.831
_cell_angle_alpha 90.00
_cell_angle_beta 90.00
_cell_angle_gamma 90.00
loop_
_symmetry_equiv_pos_as_xyz
'x,y,z'
'-x,-y,-z'
'-y+1/2,x,z'
'y+1/2,-x,-z'
'-x+1/2,-y+1/2,z'
'x+1/2,y+1/2,-z'
'y,-x+1/2,z'
'-y,x+1/2,-z'
'x+1/2,-y,-z'
'-x+1/2,y,z'
'-y,-x,-z'
'y,x,z'
'-x,y+1/2,-z'
'x,-y+1/2,z'
'y+1/2,x+1/2,-z'
'-y+1/2,-x+1/2,z'
loop_
_atom_site_label
_atom_site_type_symbol
_atom_site_fract_x
_atom_site_fract_y
_atom_site_fract_z
_atom_site_occupancy
Pa1 Pa 0.250 0.250 0.157 1
Ta1 Ta 0.250 0.750 0.500 1
Mn1 Mn 0.250 0.250 0.780 1
```

=====

VASP calculation (PBE) on a relaxed structure of PaTa2Mn9.

energy relative to the elements	-97	meV/atom
final energy	-350.7	eV/cell
crystal system	trigonal

Structure (CIF):
```
data_PaTa2Mn9
_symmetry_space_group_name_H-M 'R -3 m'
_symmetry_Int_Tables_number 166
_symmetry_space_group_name_Hall '-R 3 2"'
_cell_length_a 4.7757
_cell_length_b 4.7757
_cell_length_c 24.2919
_cell_angle_alpha 90.00
_cell_angle_beta 90.00
_cell_angle_gamma 120.00
loop_
_atom_site_label
_atom_site_type_symbol
_atom_site_fract_x
_atom_site_fract_y
_atom_site_fract_z
_atom_site_occupancy
Pa1 Pa 0.0000 0.0000 0.0000 1
Ta1 Ta 0.0000 0.0000 0.1421 1
Mn1 Mn 0.0000 0.0000 0.3376 1
Mn2 Mn 0.0000 0.0000 0.5000 1
Mn3 Mn 0.0102 0.5051 0.9137 1
```

=====

VASP calculation (PBE) on a relaxed structure of PaTaMnTc.

energy relative to the elements	-51	meV/atom
final energy	-164.4	eV/cell
crystal system	cubic

Structure (CIF):
```
data_PaTaMnTc
_symmetry_space_group_name_H-M 'F -4 3 m'
_symmetry_Int_Tables_number 216
_symmetry_space_group_name_Hall 'F -4 2 3'
_cell_length_a 6.523
_cell_length_b 6.523
_cell_length_c 6.523
_cell_angle_alpha 90.00
_cell_angle_beta 90.00
_cell_angle_gamma 90.00
loop_
_atom_site_label
_atom_site_type_symbol
_atom_site_fract_x
_atom_site_fract_y
_atom_site_fract_z
_atom_site_occupancy
Pa1 Pa 0.000 0.000 0.000 1
Ta1 Ta 0.000 0.000 0.500 1
Mn1 Mn 0.250 0.250 0.750 1
Tc1 Tc 0.250 0.250 0.250 1
```

=====

VASP calculation (PBE) on a relaxed structure of TbPaMn.

energy above the lowest structure with this stoichiometry	0.00	eV/f.u.
energy relative to the elements	72	meV/atom
final energy	-46.2	eV/cell
crystal system	tetragonal

Structure (CIF):
```
data_TbPaMn
_symmetry_space_group_name_H-M 'I 4 m m'
_symmetry_Int_Tables_number 107
_symmetry_space_group_name_Hall 'I 4 -2'
_cell_length_a 3.365
_cell_length_b 3.365
_cell_length_c 11.326
_cell_angle_alpha 90.00
_cell_angle_beta 90.00
_cell_angle_gamma 90.00
loop_
_atom_site_label
_atom_site_type_symbol
_atom_site_fract_x
_atom_site_fract_y
_atom_site_fract_z
_atom_site_occupancy
Tb1 Tb 0.000 0.000 0.000 1
Pa1 Pa 0.000 0.000 0.292 1
Mn1 Mn 0.000 0.000 0.693 1
```

=====

VASP calculation (PBE) on a relaxed structure of TbPaMn4.

energy relative to the elements	51	meV/atom
final energy	-202.0	eV/cell
crystal system	cubic

Structure (CIF):
```
data_TbPaMn4
_symmetry_space_group_name_H-M 'F -4 3 m'
_symmetry_Int_Tables_number 216
_symmetry_space_group_name_Hall 'F -4 2 3'
_cell_length_a 7.259
_cell_length_b 7.259
_cell_length_c 7.259
_cell_angle_alpha 90.00
_cell_angle_beta 90.00
_cell_angle_gamma 90.00
loop_
_atom_site_label
_atom_site_type_symbol
_atom_site_fract_x
_atom_site_fract_y
_atom_site_fract_z
_atom_site_occupancy
Tb1 Tb 0.000 0.000 0.000 1
Pa1 Pa 0.250 0.250 0.750 1
Mn1 Mn 0.124 0.124 0.376 1
```

=====

VASP calculation (PBE) on a relaxed structure of TbPaMn.

energy above the lowest structure with this stoichiometry	0.54	eV/f.u.
energy relative to the elements	253	meV/atom
final energy	-90.1	eV/cell
crystal system	tetragonal

Structure (CIF):
```
data_TbPaMn
_symmetry_space_group_name_H-M 'I 4/m m m'
_symmetry_Int_Tables_number 139
_symmetry_space_group_name_Hall '-I 4 2'
_cell_length_a 4.251
_cell_length_b 4.251
_cell_length_c 15.042
_cell_angle_alpha 90.00
_cell_angle_beta 90.00
_cell_angle_gamma 90.00
loop_
_atom_site_label
_atom_site_type_symbol
_atom_site_fract_x
_atom_site_fract_y
_atom_site_fract_z
_atom_site_occupancy
Tb1 Tb 0.000 0.000 0.168 1
Pa1 Pa 0.000 0.000 0.398 1
Mn1 Mn 0.000 0.500 0.000 1
```

=====

VASP calculation (PBE) on a relaxed structure of Pa3MnTc.

energy relative to the elements	-63	meV/atom
final energy	-96.7	eV/cell
crystal system	triclinic

Structure (CIF):
```
data_Pa3MnTc
_symmetry_space_group_name_H-M 'P -1'
_symmetry_Int_Tables_number 2
_cell_length_a 4.424
_cell_length_b 6.490
_cell_length_c 7.684
_cell_angle_alpha 112.40
_cell_angle_beta 90.01
_cell_angle_gamma 90.09
loop_
_symmetry_equiv_pos_as_xyz
'x,y,z'
'-x,-y,-z'
loop_
_atom_site_label
_atom_site_type_symbol
_atom_site_fract_x
_atom_site_fract_y
_atom_site_fract_z
_atom_site_occupancy
Pa1 Pa 0.249 0.438 0.269 1
Pa2 Pa 0.250 0.251 0.562 1
Pa3 Pa 0.250 0.863 0.104 1
Mn1 Mn 0.249 0.373 0.922 1
Tc1 Tc 0.251 0.889 0.718 1
```

=====

VASP calculation (PBE) on a relaxed structure of PaMnTc2.

energy above the lowest structure with this stoichiometry	0.26	eV/f.u.
energy relative to the elements	-6	meV/atom
final energy	-157.7	eV/cell
crystal system	cubic

Structure (CIF):
```
data_PaMnTc2
_symmetry_space_group_name_H-M 'F m -3 m'
_symmetry_Int_Tables_number 225
_symmetry_space_group_name_Hall '-F 4 2 3'
_cell_length_a 6.482
_cell_length_b 6.482
_cell_length_c 6.482
_cell_angle_alpha 90.00
_cell_angle_beta 90.00
_cell_angle_gamma 90.00
loop_
_atom_site_label
_atom_site_type_symbol
_atom_site_fract_x
_atom_site_fract_y
_atom_site_fract_z
_atom_site_occupancy
Pa1 Pa 0.000 0.000 0.000 1
Mn1 Mn 0.000 0.000 0.500 1
Tc1 Tc 0.250 0.250 0.250 1
```